# Ac2Cu3GePt4, optimized geometry, DFT PBE
# space group	P-4m2 (115)
# total energy	-5.587	eV/atom
# magnetization	0.00	μB per formula unit
data_Ac2Cu3GePt4
_symmetry_space_group_name_H-M 'P 1'
_symmetry_Int_Tables_number 1
_cell_length_a 4.306
_cell_length_b 4.306
_cell_length_c 10.684
_cell_angle_alpha 90.00
_cell_angle_beta 90.00
_cell_angle_gamma 90.00
loop_
_symmetry_equiv_pos_as_xyz
'x,y,z'
loop_
_atom_site_label
_atom_site_fract_x
_atom_site_fract_y
_atom_site_fract_z
Ac1 0.000 0.500 0.236
Ac2 0.500 0.000 0.764
Cu1 0.000 0.500 0.864
Cu2 0.500 0.000 0.136
Cu3 0.500 0.500 0.500
Ge1 0.000 0.000 0.500
Pt1 0.000 0.000 0.000
Pt2 0.000 0.500 0.627
Pt3 0.500 0.000 0.373
Pt4 0.500 0.500 0.000

---

# Ac2CuGe3Pt4, optimized geometry, DFT PBE
# space group	P-4m2 (115)
# total energy	-5.910	eV/atom
# magnetization	0.00	μB per formula unit
data_Ac2CuGe3Pt4
_symmetry_space_group_name_H-M 'P 1'
_symmetry_Int_Tables_number 1
_cell_length_a 4.482
_cell_length_b 4.482
_cell_length_c 10.167
_cell_angle_alpha 90.00
_cell_angle_beta 90.00
_cell_angle_gamma 90.00
loop_
_symmetry_equiv_pos_as_xyz
'x,y,z'
loop_
_atom_site_label
_atom_site_fract_x
_atom_site_fract_y
_atom_site_fract_z
Ac1 0.000 0.500 0.241
Ac2 0.500 0.000 0.759
Cu1 0.500 0.500 0.000
Ge1 0.000 0.000 0.000
Ge2 0.000 0.500 0.626
Ge3 0.500 0.000 0.374
Pt1 0.000 0.000 0.500
Pt2 0.000 0.500 0.873
Pt3 0.500 0.000 0.127
Pt4 0.500 0.500 0.500

---

# AcCuGePt3, optimized geometry, DFT PBE
# space group	Cmcm (63)
# total energy	-5.751	eV/atom
# magnetization	0.00	μB per formula unit
data_AcCuGePt3
_symmetry_space_group_name_H-M 'P 1'
_symmetry_Int_Tables_number 1
_cell_length_a 6.932
_cell_length_b 6.932
_cell_length_c 5.857
_cell_angle_alpha 90.00
_cell_angle_beta 90.00
_cell_angle_gamma 118.75
loop_
_symmetry_equiv_pos_as_xyz
'x,y,z'
loop_
_atom_site_label
_atom_site_fract_x
_atom_site_fract_y
_atom_site_fract_z
Ac1 0.220 0.780 0.750
Ac2 0.780 0.220 0.250
Cu1 0.473 0.527 0.750
Cu2 0.527 0.473 0.250
Ge1 0.112 0.888 0.250
Ge2 0.888 0.112 0.750
Pt1 0.214 0.214 0.000
Pt2 0.214 0.214 0.500
Pt3 0.314 0.686 0.250
Pt4 0.686 0.314 0.750
Pt5 0.786 0.786 0.000
Pt6 0.786 0.786 0.500

---

# Ac2Cu3Ge4Pt, optimized geometry, DFT PBE
# space group	P-4m2 (115)
# total energy	-5.086	eV/atom
# magnetization	0.00	μB per formula unit
data_Ac2Cu3Ge4Pt
_symmetry_space_group_name_H-M 'P 1'
_symmetry_Int_Tables_number 1
_cell_length_a 4.425
_cell_length_b 4.425
_cell_length_c 10.158
_cell_angle_alpha 90.00
_cell_angle_beta 90.00
_cell_angle_gamma 90.00
loop_
_symmetry_equiv_pos_as_xyz
'x,y,z'
loop_
_atom_site_label
_atom_site_fract_x
_atom_site_fract_y
_atom_site_fract_z
Ac1 0.000 0.500 0.250
Ac2 0.500 0.000 0.750
Cu1 0.000 0.000 0.000
Cu2 0.000 0.500 0.623
Cu3 0.500 0.000 0.377
Ge1 0.000 0.000 0.500
Ge2 0.000 0.500 0.872
Ge3 0.500 0.000 0.128
Ge4 0.500 0.500 0.500
Pt1 0.500 0.500 0.000

---

# Ac2Cu4Ge3Pt, optimized geometry, DFT PBE
# space group	P-4m2 (115)
# total energy	-4.947	eV/atom
# magnetization	0.00	μB per formula unit
data_Ac2Cu4Ge3Pt
_symmetry_space_group_name_H-M 'P 1'
_symmetry_Int_Tables_number 1
_cell_length_a 4.389
_cell_length_b 4.389
_cell_length_c 10.082
_cell_angle_alpha 90.00
_cell_angle_beta 90.00
_cell_angle_gamma 90.00
loop_
_symmetry_equiv_pos_as_xyz
'x,y,z'
loop_
_atom_site_label
_atom_site_fract_x
_atom_site_fract_y
_atom_site_fract_z
Ac1 0.000 0.500 0.249
Ac2 0.500 0.000 0.751
Cu1 0.000 0.000 0.500
Cu2 0.000 0.500 0.868
Cu3 0.500 0.000 0.132
Cu4 0.500 0.500 0.500
Ge1 0.000 0.000 0.000
Ge2 0.000 0.500 0.623
Ge3 0.500 0.000 0.377
Pt1 0.500 0.500 0.000

---

# AcCuGe2Pt, optimized geometry, DFT PBE
# space group	I-4m2 (119)
# total energy	-5.387	eV/atom
# magnetization	0.00	μB per formula unit
data_AcCuGe2Pt
_symmetry_space_group_name_H-M 'P 1'
_symmetry_Int_Tables_number 1
_cell_length_a 6.037
_cell_length_b 6.037
_cell_length_c 6.037
_cell_angle_alpha 136.87
_cell_angle_beta 136.87
_cell_angle_gamma 62.64
loop_
_symmetry_equiv_pos_as_xyz
'x,y,z'
loop_
_atom_site_label
_atom_site_fract_x
_atom_site_fract_y
_atom_site_fract_z
Ac1 0.000 0.000 0.000
Cu1 0.750 0.250 0.500
Ge1 0.372 0.372 0.000
Ge2 0.628 0.628 0.000
Pt1 0.250 0.750 0.500

---

# AcCuGePt2, optimized geometry, DFT PBE
# space group	I-4m2 (119)
# total energy	-5.727	eV/atom
# magnetization	0.00	μB per formula unit
data_AcCuGePt2
_symmetry_space_group_name_H-M 'P 1'
_symmetry_Int_Tables_number 1
_cell_length_a 6.247
_cell_length_b 6.247
_cell_length_c 6.247
_cell_angle_alpha 139.37
_cell_angle_beta 139.37
_cell_angle_gamma 58.81
loop_
_symmetry_equiv_pos_as_xyz
'x,y,z'
loop_
_atom_site_label
_atom_site_fract_x
_atom_site_fract_y
_atom_site_fract_z
Ac1 0.000 0.000 0.000
Cu1 0.750 0.250 0.500
Ge1 0.250 0.750 0.500
Pt1 0.374 0.374 0.000
Pt2 0.626 0.626 0.000

---

# AcPuCu2Ge2, optimized geometry, DFT PBE
# space group	P-3m1 (164)
# total energy	-6.440	eV/atom
# magnetization	5.07	μB per formula unit
data_AcPuCu2Ge2
_symmetry_space_group_name_H-M 'P 1'
_symmetry_Int_Tables_number 1
_cell_length_a 4.344
_cell_length_b 4.344
_cell_length_c 7.992
_cell_angle_alpha 90.00
_cell_angle_beta 90.00
_cell_angle_gamma 120.00
loop_
_symmetry_equiv_pos_as_xyz
'x,y,z'
loop_
_atom_site_label
_atom_site_fract_x
_atom_site_fract_y
_atom_site_fract_z
Ac1 0.000 0.000 0.000
Pu1 0.000 0.000 0.500
Cu1 0.333 0.667 0.281
Cu2 0.667 0.333 0.719
Ge1 0.333 0.667 0.722
Ge2 0.667 0.333 0.278

---

# Ac2CuGe4Rh3, optimized geometry, DFT PBE
# space group	P-4m2 (115)
# total energy	-6.009	eV/atom
# magnetization	0.00	μB per formula unit
data_Ac2CuGe4Rh3
_symmetry_space_group_name_H-M 'P 1'
_symmetry_Int_Tables_number 1
_cell_length_a 4.447
_cell_length_b 4.447
_cell_length_c 10.050
_cell_angle_alpha 90.00
_cell_angle_beta 90.00
_cell_angle_gamma 90.00
loop_
_symmetry_equiv_pos_as_xyz
'x,y,z'
loop_
_atom_site_label
_atom_site_fract_x
_atom_site_fract_y
_atom_site_fract_z
Ac1 0.000 0.500 0.249
Ac2 0.500 0.000 0.751
Cu1 0.000 0.000 0.500
Ge1 0.000 0.000 0.000
Ge2 0.000 0.500 0.624
Ge3 0.500 0.000 0.376
Ge4 0.500 0.500 0.000
Rh1 0.000 0.500 0.875
Rh2 0.500 0.000 0.125
Rh3 0.500 0.500 0.500

---

# Ac2Cu4Ge3Rh, optimized geometry, DFT PBE
# space group	P-4m2 (115)
# total energy	-5.004	eV/atom
# magnetization	0.00	μB per formula unit
data_Ac2Cu4Ge3Rh
_symmetry_space_group_name_H-M 'P 1'
_symmetry_Int_Tables_number 1
_cell_length_a 4.330
_cell_length_b 4.330
_cell_length_c 10.234
_cell_angle_alpha 90.00
_cell_angle_beta 90.00
_cell_angle_gamma 90.00
loop_
_symmetry_equiv_pos_as_xyz
'x,y,z'
loop_
_atom_site_label
_atom_site_fract_x
_atom_site_fract_y
_atom_site_fract_z
Ac1 0.000 0.500 0.247
Ac2 0.500 0.000 0.753
Cu1 0.000 0.000 0.500
Cu2 0.000 0.500 0.866
Cu3 0.500 0.000 0.134
Cu4 0.500 0.500 0.500
Ge1 0.000 0.000 0.000
Ge2 0.000 0.500 0.623
Ge3 0.500 0.000 0.377
Rh1 0.500 0.500 0.000

---

# AcCuGe2Rh, optimized geometry, DFT PBE
# space group	I-4m2 (119)
# total energy	-5.573	eV/atom
# magnetization	0.00	μB per formula unit
data_AcCuGe2Rh
_symmetry_space_group_name_H-M 'P 1'
_symmetry_Int_Tables_number 1
_cell_length_a 6.054
_cell_length_b 6.054
_cell_length_c 6.054
_cell_angle_alpha 137.60
_cell_angle_beta 137.60
_cell_angle_gamma 61.51
loop_
_symmetry_equiv_pos_as_xyz
'x,y,z'
loop_
_atom_site_label
_atom_site_fract_x
_atom_site_fract_y
_atom_site_fract_z
Ac1 0.000 0.000 0.000
Cu1 0.250 0.750 0.500
Ge1 0.369 0.369 0.000
Ge2 0.631 0.631 0.000
Rh1 0.750 0.250 0.500

---

# Ac2Cu3Ge4Rh, optimized geometry, DFT PBE
# space group	P-4m2 (115)
# total energy	-5.181	eV/atom
# magnetization	0.00	μB per formula unit
data_Ac2Cu3Ge4Rh
_symmetry_space_group_name_H-M 'P 1'
_symmetry_Int_Tables_number 1
_cell_length_a 4.408
_cell_length_b 4.408
_cell_length_c 10.124
_cell_angle_alpha 90.00
_cell_angle_beta 90.00
_cell_angle_gamma 90.00
loop_
_symmetry_equiv_pos_as_xyz
'x,y,z'
loop_
_atom_site_label
_atom_site_fract_x
_atom_site_fract_y
_atom_site_fract_z
Ac1 0.000 0.500 0.249
Ac2 0.500 0.000 0.751
Cu1 0.000 0.000 0.000
Cu2 0.000 0.500 0.625
Cu3 0.500 0.000 0.375
Ge1 0.000 0.000 0.500
Ge2 0.000 0.500 0.876
Ge3 0.500 0.000 0.124
Ge4 0.500 0.500 0.500
Rh1 0.500 0.500 0.000

---

> Look up the total energy of the fifth one.

-4.947 eV/atom

---

> Number 6 is which compound?

AcCuGe2Pt

---

> total energy of number 5 (Ac2Cu4Ge3Pt)?

-4.947 eV/atom

---

> magnetization of number 5 (Ac2Cu4Ge3Pt)?

0.00 μB per formula unit